(1)
Computed, not measured: a relaxed structure of Tb2HfSi3Pt4 at the PBE level of DFT.

Cell lengths 4.1406, 4.1406, 10.8136 Å; angles 90.00, 90.00, 90.00 degrees
Last column: nearest neighbours and their distance in Å.
Atoms (fractional coordinates):
Pt: 0.0000 0.5000 0.3501  3 Si 2.38-2.63, 2 Hf 2.63
Pt: 0.0000 0.0000 0.0000  4 Si 2.50
Pt: 0.5000 0.0000 0.6499  3 Si 2.38-2.63, 2 Hf 2.63
Pt: 0.5000 0.5000 0.0000  4 Si 2.50
Tb: 0.5000 0.0000 0.2284  4 Si 3.12, 8 Pt 3.21-3.22
Tb: 0.0000 0.5000 0.7716  4 Si 3.12, 8 Pt 3.21-3.22
Si: 0.0000 0.0000 0.5000  4 Pt 2.63, 4 Hf 2.93
Si: 0.0000 0.5000 0.1300  5 Pt 2.38-2.50
Si: 0.5000 0.0000 0.8700  5 Pt 2.38-2.50
Hf: 0.5000 0.5000 0.5000  4 Pt 2.63, 4 Si 2.93

Summary:
- Magnetic moment: 0.00 μB per cell
- Formation energy without anion corrections: -1.08 eV/atom
- Symmetry: No. 115
- Mass density: 12.19 g cm⁻³


(2)
Computed, not measured: a relaxed structure of SrBeSe2N at the PBE level of DFT.

Cell lengths 5.8277, 5.8277, 4.8207 Å; angles 90.00, 90.00, 90.00 degrees
Last column: nearest neighbours and their distance in Å.
Atoms (fractional coordinates):
N: 0.0000 0.0000 0.5000  2 Sr 2.41
Se: 0.0000 0.5000 0.0000  2 Sr 2.91
Se: 0.5000 0.0000 0.0000  2 Sr 2.91
Sr: 0.0000 0.0000 0.0000  2 N 2.41
Be: 0.5000 0.5000 0.5000  8 Se 3.78, 4 N 4.12

Summary:
- Magnetic moment: 3.16 μB per cell
- Formation energy without anion corrections: 1.26 eV/atom
- Symmetry: No. 123
- Mass density: 2.72 g cm⁻³


(3)
Computed, not measured: a relaxed structure of CsPCl5 at the PBE level of DFT.

Cell lengths 7.4327, 7.4328, 9.7818 Å; angles 70.77, 70.77, 61.38 degrees
Last column: nearest neighbours and their distance in Å.
Atoms (fractional coordinates):
Cl: 0.9269 0.3421 0.4327  1 P 2.24
Cl: 0.0731 0.6579 0.5673  1 P 2.24
Cl: 0.9266 0.3422 0.9326  1 P 2.24
Cl: 0.3421 0.9269 0.9327  1 P 2.24
Cl: 0.3422 0.9266 0.4326  1 P 2.24
Cl: 0.0734 0.6578 0.0674  1 P 2.24
Cl: 0.9997 0.0003 0.2500  2 P 2.45
Cl: 0.6579 0.0731 0.0673  1 P 2.24
Cl: 0.0003 0.9997 0.7500  2 P 2.45
Cl: 0.6578 0.0734 0.5674  1 P 2.24
P: 0.0000 0.0000 0.0000  6 Cl 2.24-2.45
P: 0.0000 0.0000 0.5000  6 Cl 2.24-2.45
Cs: 0.4999 0.5001 0.7500  10 Cl 3.66-3.80
Cs: 0.5001 0.4999 0.2500  10 Cl 3.66-3.80

Summary:
- Magnetic moment: 0.00 μB per cell
- Formation energy without anion corrections: -0.88 eV/atom
- Symmetry: No. 71
- Mass density: 2.59 g cm⁻³